Version w
CaTcOs3 after structural relaxation, computed with PBE-GGA.

Computed properties:
Density of states at the Fermi level: 5.7 states/eV/cell

The structure in CIF format:
```
data_CaTcOs3
_chemical_formula_sum 'Ca1 Tc1 Os3'
_symmetry_space_group_name_H-M 'P m -3 m'
_symmetry_Int_Tables_number 221
_symmetry_space_group_name_Hall '-P 4 2 3'
_cell_length_a 4.724
_cell_length_b 4.724
_cell_length_c 4.724
_cell_angle_alpha 90.00
_cell_angle_beta 90.00
_cell_angle_gamma 90.00
loop_
_atom_site_label
_atom_site_type_symbol
_atom_site_fract_x
_atom_site_fract_y
_atom_site_fract_z
_atom_site_occupancy
Ca1 Ca 0.000 0.000 0.000 1
Tc1 Tc 0.500 0.500 0.500 1
Os1 Os 0.000 0.500 0.500 1
```

=====

Version x
CaTcOs3 after structural relaxation, computed with PBE-GGA.

Computed properties:
Density of states at the Fermi level: 9.0 states/eV/cell

The structure in CIF format:
```
data_CaTcOs3
_chemical_formula_sum 'Ca1 Tc1 Os3'
_symmetry_space_group_name_H-M 'P m -3 m'
_symmetry_Int_Tables_number 221
_symmetry_space_group_name_Hall '-P 4 2 3'
_cell_length_a 4.527
_cell_length_b 4.527
_cell_length_c 4.527
_cell_angle_alpha 90.00
_cell_angle_beta 90.00
_cell_angle_gamma 90.00
loop_
_atom_site_label
_atom_site_type_symbol
_atom_site_fract_x
_atom_site_fract_y
_atom_site_fract_z
_atom_site_occupancy
Ca1 Ca 0.000 0.000 0.000 1
Tc1 Tc 0.500 0.500 0.500 1
Os1 Os 0.000 0.000 0.500 1
```

=====

version w has the most favorable energy; the next structure is 1842 meV/atom above.